Below is a relaxed structure of SrPrGa2, with properties calculated at the PBE level.

Values from the calculation:
Formation enthalpy at 0 K (eV/atom): -0.444
Uncorrected energy (eV/f.u.): -14.3
Space-group type: No. 123
Total magnetic moment (μB per formula unit): 0.00

abc: 3.7836 3.7836 7.7405
angles: 90.00 90.00 90.00
Last column: nearest neighbours and their distance in Å.
Atoms (fractional coordinates):
Pr  0.5000  0.5000  0.0000  8 Ga 3.23
Sr  0.5000  0.5000  0.5000  8 Ga 3.38, 4 Sr 3.78
Ga  0.0000  0.0000  0.7672  4 Pr 3.23, 4 Sr 3.38, 1 Ga 3.60
Ga  0.0000  0.0000  0.2328  4 Pr 3.23, 4 Sr 3.38, 1 Ga 3.60

---

Below is a relaxed structure of Be2VRu2, with properties calculated at the PBE level.

Values from the calculation:
Formation enthalpy at 0 K (eV/atom): -0.093
Uncorrected energy (eV/f.u.): -35.6
Space-group type: No. 127
Total magnetic moment (μB per formula unit): 0.00

abc: 6.4131 6.4131 2.9040
angles: 90.00 90.00 90.00
Last column: nearest neighbours and their distance in Å.
Atoms (fractional coordinates):
Ru  0.3434  0.8434  0.0000  6 Be 2.36-2.38, 2 V 2.42
Ru  0.8434  0.6566  0.0000  6 Be 2.36-2.38, 2 V 2.42
Ru  0.6566  0.1566  0.0000  6 Be 2.36-2.38, 2 V 2.42
Ru  0.1566  0.3434  0.0000  6 Be 2.36-2.38, 2 V 2.42
V  0.0000  0.0000  0.0000  4 Ru 2.42
V  0.5000  0.5000  0.0000  4 Ru 2.42
Be  0.1377  0.6377  0.5000  6 Ru 2.36-2.38, 1 Be 2.50
Be  0.6377  0.8623  0.5000  6 Ru 2.36-2.38, 1 Be 2.50
Be  0.8623  0.3623  0.5000  6 Ru 2.36-2.38, 1 Be 2.50
Be  0.3623  0.1377  0.5000  6 Ru 2.36-2.38, 1 Be 2.50

---

Below is a relaxed structure of CaAc14Dy, with properties calculated at the PBE level.

Values from the calculation:
Formation enthalpy at 0 K (eV/atom): 0.021
Uncorrected energy (eV/f.u.): -63.8
Space-group type: No. 38
Total magnetic moment (μB per formula unit): 0.00

abc: 7.9261 7.9261 11.1952
angles: 90.00 90.00 89.97
Last column: nearest neighbours and their distance in Å.
Atoms (fractional coordinates):
Ca  0.8750  0.1250  0.0000  12 Ac 3.96-3.97
Ac  0.3747  0.6253  0.5000  12 Ac 3.95-3.97
Ac  0.8750  0.1250  0.5000  12 Ac 3.96-4.01
Ac  0.8743  0.6242  0.0000  8 Ac 3.94, 2 Dy 3.95-3.97, 2 Ca 3.96-3.97
Ac  0.8755  0.6258  0.5000  12 Ac 3.96-3.98
Ac  0.3758  0.1257  0.0000  8 Ac 3.94, 2 Dy 3.95-3.97, 2 Ca 3.96-3.97
Ac  0.3743  0.1245  0.5000  12 Ac 3.96-3.98
Ac  0.6216  0.8715  0.7526  10 Ac 3.91-4.02, 1 Dy 3.91, 1 Ca 3.97
Ac  0.6216  0.8715  0.2474  10 Ac 3.91-4.02, 1 Dy 3.91, 1 Ca 3.97
Ac  0.1285  0.3784  0.7526  10 Ac 3.91-4.02, 1 Dy 3.91, 1 Ca 3.97
Ac  0.1285  0.3784  0.2474  10 Ac 3.91-4.02, 1 Dy 3.91, 1 Ca 3.97
Ac  0.1284  0.8716  0.7534  1 Dy 3.91, 10 Ac 3.91-4.02, 1 Ca 3.96
Ac  0.1284  0.8716  0.2466  1 Dy 3.91, 10 Ac 3.91-4.02, 1 Ca 3.96
Ac  0.6216  0.3784  0.7518  10 Ac 3.91-4.02, 1 Dy 3.92, 1 Ca 3.97
Ac  0.6216  0.3784  0.2482  10 Ac 3.91-4.02, 1 Dy 3.92, 1 Ca 3.97
Dy  0.3754  0.6246  0.0000  12 Ac 3.91-3.97

---

Below is a relaxed structure of CdSiPt2, with properties calculated at the PBE level.

Values from the calculation:
Uncorrected energy (eV/f.u.): -20.0
Space-group type: No. 166
Total magnetic moment (μB per formula unit): 0.00
Formation energy (no corrections) (eV/atom): -0.40

abc: 8.4460 8.4460 8.4460
angles: 20.72 20.72 20.72
Last column: nearest neighbours and their distance in Å.
Atoms (fractional coordinates):
Cd  0.7500  0.7500  0.7500  6 Pt 2.97, 6 Cd 3.04
Pt  0.9865  0.9865  0.9865  3 Si 2.47
Pt  0.5135  0.5135  0.5135  3 Si 2.47
Si  0.2500  0.2500  0.2500  6 Pt 2.47

---

Below is a relaxed structure of RbSb12Pd4, with properties calculated at the PBE level.

Values from the calculation:
Uncorrected energy (eV/f.u.): -76.2
Space-group type: No. 204
Total magnetic moment (μB per formula unit): 0.00
Formation energy (no corrections) (eV/atom): -0.30

abc: 8.3559 8.3559 8.3559
angles: 109.47 109.47 109.47
Last column: nearest neighbours and their distance in Å.
Atoms (fractional coordinates):
Rb  0.0000  0.0000  0.0000  12 Sb 3.69
Sb  0.8432  0.3486  0.1918  2 Pd 2.74, 2 Sb 2.92-3.03
Sb  0.3486  0.5054  0.1568  2 Pd 2.74, 2 Sb 2.92-3.03
Sb  0.8082  0.1568  0.6514  2 Pd 2.74, 2 Sb 2.92-3.03
Sb  0.3486  0.1918  0.8432  2 Pd 2.74, 2 Sb 2.92-3.03
Sb  0.1918  0.8432  0.3486  2 Pd 2.74, 2 Sb 2.92-3.03
Sb  0.6514  0.4946  0.8432  2 Pd 2.74, 2 Sb 2.92-3.03
Sb  0.5054  0.1568  0.3486  2 Pd 2.74, 2 Sb 2.92-3.03
Sb  0.4946  0.8432  0.6514  2 Pd 2.74, 2 Sb 2.92-3.03
Sb  0.6514  0.8082  0.1568  2 Pd 2.74, 2 Sb 2.92-3.03
Sb  0.8432  0.6514  0.4946  2 Pd 2.74, 2 Sb 2.92-3.03
Sb  0.1568  0.3486  0.5054  2 Pd 2.74, 2 Sb 2.92-3.03
Sb  0.1568  0.6514  0.8082  2 Pd 2.74, 2 Sb 2.92-3.03
Pd  0.0000  0.5000  0.0000  6 Sb 2.74
Pd  0.5000  0.0000  0.0000  6 Sb 2.74
Pd  0.5000  0.5000  0.5000  6 Sb 2.74
Pd  0.0000  0.0000  0.5000  6 Sb 2.74

---

Below is a relaxed structure of CsPuTe3, with properties calculated at the PBE level.

Values from the calculation:
Uncorrected energy (eV/f.u.): -28.7
Space-group type: No. 221
Total magnetic moment (μB per formula unit): 3.15
Formation energy (no corrections) (eV/atom): -0.82

abc: 5.9439 5.9439 5.9439
angles: 90.00 90.00 90.00
Last column: nearest neighbours and their distance in Å.
Atoms (fractional coordinates):
Cs  0.5000  0.5000  0.5000  12 Te 4.20
Te  0.0000  0.5000  0.0000  2 Pu 2.97
Te  0.0000  0.0000  0.5000  2 Pu 2.97
Te  0.5000  0.0000  0.0000  2 Pu 2.97
Pu  0.0000  0.0000  0.0000  6 Te 2.97

---

Below is a relaxed structure of K4ZnH6, with properties calculated at the PBE level.

Values from the calculation:
Uncorrected energy (eV/f.u.): -27.9
Space-group type: No. 9
Total magnetic moment (μB per formula unit): 0.06

abc: 5.8160 7.1486 12.8040
angles: 76.16 76.87 66.00
Last column: nearest neighbours and their distance in Å.
Atoms (fractional coordinates):
K  0.4020  0.0100  0.6222  3 H 2.52-2.67
K  0.9658  0.5100  0.1222  3 H 2.52-2.67
K  0.8690  0.2628  0.4336  4 H 2.59-2.87
K  0.4347  0.7628  0.9336  4 H 2.59-2.87
K  0.0780  0.6418  0.6673  5 H 2.66-2.97
K  0.6129  0.1418  0.1673  5 H 2.66-2.97
K  0.7037  0.2609  0.7956  5 H 2.59-2.88
K  0.2399  0.7609  0.2956  5 H 2.59-2.88
Zn  0.6898  0.7615  0.4153  4 H 1.66-1.69
Zn  0.1334  0.2615  0.9153  4 H 1.66-1.69
H  0.4292  0.5542  0.1321  4 K 2.62-2.87
H  0.8845  0.0542  0.6321  4 K 2.62-2.87
H  0.4571  0.6785  0.4764  1 Zn 1.66
H  0.3880  0.1785  0.9764  1 Zn 1.66
H  0.6120  0.0131  0.4142  1 Zn 1.66
H  0.9607  0.5131  0.9142  1 Zn 1.66
H  0.9674  0.1097  0.9704  1 Zn 1.67
H  0.9525  0.6097  0.4704  1 Zn 1.67
H  0.0835  0.1613  0.2441  3 K 2.52-2.59
H  0.5112  0.6613  0.7441  3 K 2.52-2.59
H  0.2310  0.2325  0.7830  1 Zn 1.69
H  0.7535  0.7325  0.2830  1 Zn 1.69

---

Below is a relaxed structure of KRb2Ga2As2, with properties calculated at the PBE level.

Values from the calculation:
Formation enthalpy at 0 K (eV/atom): -0.299
Uncorrected energy (eV/f.u.): -20.5
Space-group type: No. 12
Total magnetic moment (μB per formula unit): 0.00

abc: 4.1624 7.1331 8.2959
angles: 104.82 90.00 106.96
Last column: nearest neighbours and their distance in Å.
Atoms (fractional coordinates):
K  0.0000  0.0000  0.0000  4 As 3.48, 2 Rb 3.61, 4 Ga 3.70
Rb  0.1190  0.2380  0.4440  3 As 3.44-3.51, 1 K 3.61, 1 Rb 3.61, 2 Ga 3.83
Rb  0.8810  0.7620  0.5560  3 As 3.44-3.51, 1 K 3.61, 1 Rb 3.61, 2 Ga 3.83
Ga  0.6800  0.3600  0.8459  3 As 2.62
Ga  0.3200  0.6400  0.1541  3 As 2.62
As  0.7060  0.4120  0.1710  3 Ga 2.62
As  0.2940  0.5880  0.8290  3 Ga 2.62